Entry 1:
Material: Si2HgTe
Method: DFT, PBEsol
State: optimized geometry

```
Si2HgTe
1.0
1.948 1.125 6.493
-1.948 1.125 6.493
0.000 -2.249 6.493
Si Hg Te
2 1 1
direct
0.244 0.244 0.244
0.756 0.756 0.756
0.500 0.500 0.500
0.000 0.000 0.000
```

- Offset from the most stable computed form: 0.082 eV per atom
- Spin magnetization: 0.0 μB per cell
- Energy relative to the elements, uncorrected: 118 kJ/mol of formula units

***

Entry 2:
Material: Si2HgTe
Method: DFT, PBEsol
State: optimized geometry

```
Si2HgTe
1.0
0.000 3.453 3.453
3.453 0.000 3.453
3.453 3.453 0.000
Si Hg Te
2 1 1
direct
0.250 0.250 0.250
0.750 0.750 0.750
0.000 0.000 0.000
0.500 0.500 0.500
```

- Offset from the most stable computed form: 0.317 eV per atom
- Spin magnetization: 0.0 μB per cell
- Energy relative to the elements, uncorrected: 209 kJ/mol of formula units

***

Entry 3:
Material: Si2HgTe
Method: DFT, PBEsol
State: optimized geometry

```
Si2HgTe
1.0
3.578 0.000 0.000
0.000 3.578 0.000
0.000 0.000 7.130
Si Hg Te
2 1 1
direct
0.000 0.000 0.000
0.500 0.500 0.044
0.000 0.000 0.650
0.500 0.500 0.403
```

- Offset from the most stable computed form: 0.000 eV per atom
- Spin magnetization: 0.0 μB per cell
- Energy relative to the elements, uncorrected: 86 kJ/mol of formula units

***

Entry 4:
Material: TlSi3Hg
Method: DFT, PBEsol
State: optimized geometry

```
TlSi3Hg
1.0
5.032 0.000 0.000
0.000 5.032 0.000
0.000 0.000 5.032
Tl Si Hg
1 3 1
direct
0.000 0.000 0.000
0.000 0.500 0.500
0.500 0.000 0.500
0.500 0.500 0.000
0.500 0.500 0.500
```

- Spin magnetization: 0.0 μB per cell
- Energy relative to the elements, uncorrected: 538 kJ/mol of formula units

***

Entry 5:
Material: TlSi2Hg
Method: DFT, PBEsol
State: optimized geometry

```
TlSi2Hg
1.0
-2.518 2.518 7.655
2.518 -2.518 7.655
2.518 2.518 -7.655
Tl Si Hg
2 4 2
direct
0.000 0.000 0.000
0.750 0.250 0.500
0.162 0.625 0.037
0.375 0.412 0.537
0.588 0.125 0.963
0.875 0.838 0.463
0.250 0.750 0.500
0.500 0.500 0.000
```

- Offset from the most stable computed form: 0.098 eV per atom
- Spin magnetization: 0.0 μB per cell
- Energy relative to the elements, uncorrected: 227 kJ/mol of formula units

***

Entry 6:
Material: TlSi2Hg
Method: DFT, PBEsol
State: optimized geometry

```
TlSi2Hg
1.0
-2.032 2.032 5.050
2.032 -2.032 5.050
2.032 2.032 -5.050
Tl Si Hg
1 2 1
direct
0.000 0.000 0.000
0.250 0.750 0.500
0.750 0.250 0.500
0.500 0.500 0.000
```

- Offset from the most stable computed form: 0.058 eV per atom
- Spin magnetization: 0.0 μB per cell
- Energy relative to the elements, uncorrected: 211 kJ/mol of formula units

***

Entry 7:
Material: Tl2SiHg
Method: DFT, PBEsol
State: optimized geometry

```
Tl2SiHg
1.0
3.348 -4.470 0.000
3.348 4.470 0.000
-0.412 0.000 3.185
Tl Si Hg
2 1 1
direct
0.000 0.500 0.000
0.500 0.000 0.000
0.000 0.000 0.500
0.500 0.500 0.500
```

- Spin magnetization: 0.0 μB per cell
- Energy relative to the elements, uncorrected: 124 kJ/mol of formula units

***

Entry 8:
Material: TlSi2Hg
Method: DFT, PBEsol
State: optimized geometry

```
TlSi2Hg
1.0
3.580 0.000 0.000
0.000 3.580 0.000
0.000 0.000 6.835
Tl Si Hg
1 2 1
direct
0.000 0.000 0.000
0.500 0.500 0.317
0.500 0.500 0.683
0.000 0.000 0.500
```

- Offset from the most stable computed form: 0.000 eV per atom
- Spin magnetization: 0.0 μB per cell
- Energy relative to the elements, uncorrected: 189 kJ/mol of formula units

***

Entry 9:
Material: SiHg2W
Method: DFT, PBEsol
State: optimized geometry

```
SiHg2W
1.0
-1.731 2.186 4.713
1.731 -2.186 4.713
1.731 2.186 -4.713
Si Hg W
1 2 1
direct
0.000 0.000 0.000
0.460 0.460 0.000
0.737 0.237 0.500
0.187 0.687 0.500
```

- Spin magnetization: 0.0 μB per cell
- Energy relative to the elements, uncorrected: 237 kJ/mol of formula units

***

Entry 10:
Material: SiHgW2
Method: DFT, PBEsol
State: optimized geometry

```
SiHgW2
1.0
2.828 -4.072 0.000
2.828 4.072 0.000
0.000 0.000 2.749
Si Hg W
1 1 2
direct
0.000 0.000 0.000
0.500 0.500 0.000
0.000 0.500 0.500
0.500 0.000 0.500
```

- Offset from the most stable computed form: 0.282 eV per atom
- Spin magnetization: 0.0 μB per cell
- Energy relative to the elements, uncorrected: 268 kJ/mol of formula units

***

Entry 11:
Material: SiHgW2
Method: DFT, PBEsol
State: optimized geometry

```
SiHgW2
1.0
1.620 -2.234 0.000
1.620 2.234 0.000
0.000 0.000 9.475
Si Hg W
1 1 2
direct
0.000 0.000 0.000
0.500 0.500 0.302
0.000 0.000 0.564
0.500 0.500 0.789
```

- Offset from the most stable computed form: 0.000 eV per atom
- Spin magnetization: 0.0 μB per cell
- Energy relative to the elements, uncorrected: 159 kJ/mol of formula units

***

Entry 12:
Material: SiHg4W
Method: DFT, PBEsol
State: optimized geometry

```
SiHg4W
1.0
0.000 3.954 3.954
3.954 0.000 3.954
3.954 3.954 0.000
Si Hg W
1 4 1
direct
0.000 0.000 0.000
0.126 0.625 0.625
0.625 0.126 0.625
0.625 0.625 0.126
0.625 0.625 0.625
0.250 0.250 0.250
```

- Spin magnetization: 2.6 μB per cell
- Energy relative to the elements, uncorrected: 634 kJ/mol of formula units

***

What did the fifth record say?
Material: TlSi2Hg
Method: DFT, PBEsol
State: optimized geometry

```
TlSi2Hg
1.0
-2.518 2.518 7.655
2.518 -2.518 7.655
2.518 2.518 -7.655
Tl Si Hg
2 4 2
direct
0.000 0.000 0.000
0.750 0.250 0.500
0.162 0.625 0.037
0.375 0.412 0.537
0.588 0.125 0.963
0.875 0.838 0.463
0.250 0.750 0.500
0.500 0.500 0.000
```

- Offset from the most stable computed form: 0.098 eV per atom
- Spin magnetization: 0.0 μB per cell
- Energy relative to the elements, uncorrected: 227 kJ/mol of formula units